(1)
Compound: K4BaPt
Source: Alexandria
Functional: GGA-PBE
Structure: relaxed

Its energy of formation is 456 meV per atom. The calculation puts the total magnetic moment at 0.000 μB/cell. The calculation puts the density at 2.9 g/cm3.

The space group is F-43m (No. 216) and the conventional cell measures 10.429, 10.429 and 10.429 Å, with angles of 90.00, 90.00 and 90.00 degrees. Symmetry generates all atoms from K at (0.122, 0.122, 0.122), Ba at (0.000, 0.000, 0.500) and Pt at (0.250, 0.250, 0.750).

(2)
Compound: KBa2Pt
Source: Alexandria
Functional: GGA-PBE
Structure: relaxed

Its energy of formation is -247 meV per atom. The calculation puts the total magnetic moment at 0.000 μB/cell. The calculation puts the density at 4.2 g/cm3. The relative energy among the computed polymorphs is 229 meV per atom.

The space group is Immm (No. 71) and the conventional cell measures 4.326, 6.972 and 13.217 Å, with angles of 90.00, 90.00 and 90.00 degrees. Symmetry generates all atoms from K at (0.000, 0.000, 0.000), Ba at (0.000, 0.500, 0.163) and Pt at (0.000, 0.000, 0.500).

(3)
Compound: KBa2Pt
Source: Alexandria
Functional: GGA-PBE
Structure: relaxed

Its energy of formation is -68 meV per atom. The calculation puts the total magnetic moment at 0.000 μB/cell. The calculation puts the density at 5.9 g/cm3. The relative energy among the computed polymorphs is 407 meV per atom.

The space group is Fm-3m (No. 225) and the conventional cell measures 8.327, 8.327 and 8.327 Å, with angles of 90.00, 90.00 and 90.00 degrees. Symmetry generates all atoms from K at (0.000, 0.000, 0.000), Ba at (0.250, 0.250, 0.250) and Pt at (0.000, 0.000, 0.500).

(4)
Compound: KBa2Pt
Source: Alexandria
Functional: GGA-PBE
Structure: relaxed

Its energy of formation is -472 meV per atom. The calculation puts the total magnetic moment at 0.000 μB/cell. The calculation puts the density at 4.0 g/cm3. The relative energy among the computed polymorphs is 3 meV per atom.

The space group is C2/m (No. 12) and the conventional cell measures 8.041, 4.632 and 11.650 Å, with angles of 90.00, 103.12 and 90.00 degrees. Symmetry generates all atoms from K at (0.000, 0.000, 0.000), Ba at (0.216, 0.000, 0.648) and Pt at (0.000, 0.500, 0.500).

(5)
Compound: KBa2Pt
Source: Alexandria
Functional: GGA-PBE
Structure: relaxed

Its energy of formation is -437 meV per atom. The calculation puts the total magnetic moment at 0.000 μB/cell. The calculation puts the density at 3.8 g/cm3. The relative energy among the computed polymorphs is 38 meV per atom.

The space group is R-3m (No. 166, hexagonal axes) and the conventional cell measures 4.5906, 4.5906 and 36.6644 Å, with angles of 90.00, 90.00 and 120.00 degrees. Symmetry generates all atoms from K at (0.0000, 0.0000, 0.0000), Ba at (0.0000, 0.0000, 0.1203) and Pt at (0.0000, 0.0000, 0.5000).

(6)
Compound: KBa2Pt
Source: Alexandria
Functional: GGA-PBE
Structure: relaxed

Its energy of formation is -248 meV per atom. The calculation puts the total magnetic moment at 0.401 μB/cell. The calculation puts the density at 3.8 g/cm3. The relative energy among the computed polymorphs is 227 meV per atom.

The space group is P4mm (No. 99) and the conventional cell measures 4.481, 4.481 and 10.937 Å, with angles of 90.00, 90.00 and 90.00 degrees. Symmetry generates all atoms from K at (0.000, 0.000, 0.000), Ba at (0.000, 0.000, 0.388), Ba at (0.500, 0.500, 0.675) and Pt at (0.500, 0.500, 0.401).

(7)
Compound: KBa2Pt
Source: Alexandria
Functional: GGA-PBE
Structure: relaxed

Its energy of formation is -301 meV per atom. The calculation puts the total magnetic moment at 0.000 μB/cell. The calculation puts the density at 4.0 g/cm3. The relative energy among the computed polymorphs is 174 meV per atom.

The space group is Amm2 (No. 38) and the conventional cell measures 4.663, 6.313 and 14.262 Å, with angles of 90.00, 90.00 and 90.00 degrees. Symmetry generates all atoms from K at (0.000, 0.000, 0.000), Ba at (0.000, 0.000, 0.301), Ba at (0.500, 0.000, 0.647) and Pt at (0.500, 0.000, 0.163).

(8)
Compound: KBaPt2
Source: Alexandria
Functional: GGA-PBE
Structure: relaxed

Its energy of formation is -188 meV per atom. The calculation puts the total magnetic moment at 0.000 μB/cell. The calculation puts the density at 8.9 g/cm3.

The space group is Immm (No. 71) and the conventional cell measures 5.842, 5.888 and 6.170 Å, with angles of 90.00, 90.00 and 90.00 degrees. Symmetry generates all atoms from K at (0.000, 0.000, 0.000), Ba at (0.000, 0.000, 0.500) and Pt at (0.000, 0.500, 0.266).

(9)
Compound: KBaPt2
Source: Alexandria
Functional: GGA-PBE
Structure: relaxed

Its energy of formation is -184 meV per atom. The calculation puts the total magnetic moment at 0.000 μB/cell. The calculation puts the density at 8.3 g/cm3.

The space group is P4/mmm (No. 123) and the conventional cell measures 4.169, 4.169 and 6.552 Å, with angles of 90.00, 90.00 and 90.00 degrees. Symmetry generates all atoms from K at (0.000, 0.000, 0.000), Ba at (0.000, 0.000, 0.500) and Pt at (0.500, 0.500, 0.290).

(10)
Compound: K2BaPt
Source: Alexandria
Functional: GGA-PBE
Structure: relaxed

Its energy of formation is 6 meV per atom. The calculation puts the total magnetic moment at 0.000 μB/cell. The calculation puts the density at 4.9 g/cm3.

The space group is I-4m2 (No. 119) and the conventional cell measures 5.827, 5.827 and 8.261 Å, with angles of 90.00, 90.00 and 90.00 degrees. Symmetry generates all atoms from K at (0.000, 0.000, 0.000), K at (0.000, 0.500, 0.250), Ba at (0.000, 0.000, 0.500) and Pt at (0.000, 0.500, 0.750).

(11)
Compound: K2BaPt
Source: Alexandria
Functional: GGA-PBE
Structure: relaxed

Its energy of formation is -3 meV per atom. The calculation puts the total magnetic moment at 0.000 μB/cell. The calculation puts the density at 4.3 g/cm3.

The space group is Cmmm (No. 65) and the conventional cell measures 6.566, 7.579 and 6.301 Å, with angles of 90.00, 90.00 and 90.00 degrees. Symmetry generates all atoms from K at (0.000, 0.201, 0.000), Ba at (0.000, 0.500, 0.500) and Pt at (0.000, 0.000, 0.500).

(12)
Compound: KBa3Pt
Source: Alexandria
Functional: GGA-PBE
Structure: relaxed

Its energy of formation is -372 meV per atom. The calculation puts the total magnetic moment at 0.000 μB/cell. The calculation puts the density at 4.1 g/cm3. The relative energy among the computed polymorphs is 0 meV per atom.

The space group is Pm-3m (No. 221) and the conventional cell measures 6.417, 6.417 and 6.417 Å, with angles of 90.00, 90.00 and 90.00 degrees. Symmetry generates all atoms from K at (0.000, 0.000, 0.000), Ba at (0.000, 0.500, 0.500) and Pt at (0.500, 0.500, 0.500).